A relaxed structure of HoPaFe2O8. Source: the Alexandria database, functional GGA+U.

symmetry = I-4m2 (119)
total energy = -92.20 eV/cell

a = 5.983 Å, b = 5.983 Å, c = 5.983 Å
α = 107.70°, β = 107.70°, γ = 113.07°
Site moments in Bohr magnetons follow the coordinates.
Atoms (fractional coordinates):
Ho  0.250  0.750  0.500  0.00
Pa  0.000  0.000  0.000  0.17
Fe  0.750  0.250  0.500  4.18
Fe  0.500  0.500  0.000  3.31
O  0.359  0.052  0.307  0.06
O  0.313  0.491  0.178  -0.02
O  0.313  0.135  0.822  -0.02
O  0.746  0.052  0.693  0.06
O  0.865  0.687  0.178  -0.02
O  0.948  0.254  0.307  0.06
O  0.948  0.641  0.693  0.06
O  0.509  0.687  0.822  -0.02